P.
The following is a DFT calculation (GGA-PBE) of a relaxed AgBi2S3 crystal.

Lattice parameters (Å, degrees): 8.0243 11.8311 13.3474 90.00 102.27 90.00
Closest atoms and distances in Å follow each position.
Space group C2/c (No. 15)
Unique sites:
1 Ag 0.0174 0.0402 0.4027 (multiplicity 8)  3 S 2.52-2.76
2 Bi 0.1661 0.4053 0.9462 (multiplicity 8)  5 S 2.71-2.99
3 Bi 0.2479 0.3251 0.3175 (multiplicity 8)  4 S 2.73-2.94
4 S 0.0000 0.1688 0.2500 (multiplicity 4)  2 Ag 2.52, 2 Bi 2.73
5 S 0.0000 0.4817 0.2500 (multiplicity 4)  4 Bi 2.73-2.99
6 S 0.1438 0.1706 0.8692 (multiplicity 8)  3 Bi 2.76-2.95, 1 Ag 2.76
7 S 0.1621 0.3798 0.5154 (multiplicity 8)  3 Bi 2.71-2.94, 1 Ag 2.74

Computed properties:
M_tot   0.00 μB/atom
Mass density   6.67 g/cm³
Fermi-level density of states   0.12 states/eV per atom

***

Q.
The following is a DFT calculation (GGA-PBE) of a relaxed AgBi2S3 crystal.

Lattice parameters (Å, degrees): 12.4054 9.1558 5.8837 90.00 90.00 90.00
Closest atoms and distances in Å follow each position.
Space group Cmc2_1 (No. 36)
Unique sites:
1 Ag 0.0000 0.1699 0.0000 (multiplicity 4)  4 S 2.61-2.63
2 Bi 0.1393 0.3361 0.4530 (multiplicity 8)  3 S 2.66-2.84
3 S 0.0000 0.1144 0.4349 (multiplicity 4)  2 Ag 2.61-2.63, 2 Bi 2.67
4 S 0.1687 0.3297 0.9012 (multiplicity 8)  1 Ag 2.62, 2 Bi 2.66-2.84

Computed properties:
M_tot   0.00 μB/atom
Mass density   6.18 g/cm³
Fermi-level density of states   0.34 states/eV per atom

***

Most stable one: P, least stable one: Q.

***

P.
The following is a DFT calculation (GGA-PBE) of a relaxed Ag2SnBiS4 crystal.

Lattice parameters (Å, degrees): 5.5493 5.5493 11.3614 90.00 90.00 90.00
Closest atoms and distances in Å follow each position.
Space group I-4m2 (No. 119)
Unique sites:
1 Ag 0.0000 0.0000 0.0000 (multiplicity 2)  6 S 2.77-2.91
2 Ag 0.0000 0.5000 0.2500 (multiplicity 2)  6 S 2.78-2.84
3 Sn 0.0000 0.0000 0.5000 (multiplicity 2)  6 S 2.77
4 Bi 0.0000 0.5000 0.7500 (multiplicity 2)  6 S 2.78-2.84
5 S 0.0000 0.0000 0.2560 (multiplicity 4)  1 Sn 2.77, 2 Bi 2.78, 3 Ag 2.78-2.91
6 S 0.0000 0.5000 0.9996 (multiplicity 4)  2 Sn 2.77, 3 Ag 2.77-2.84, 1 Bi 2.84

Computed properties:
M_tot   0.00 μB/atom
Mass density   6.38 g/cm³
Fermi-level density of states   0.29 states/eV per atom

***

Q.
The following is a DFT calculation (GGA-PBE) of a relaxed Ag2SnBiS4 crystal.

Lattice parameters (Å, degrees): 9.0437 6.7873 7.0797 90.00 90.00 90.00
Closest atoms and distances in Å follow each position.
Space group Pmn2_1 (No. 31)
Unique sites:
1 Ag 0.2471 0.1875 0.0000 (multiplicity 4)  4 S 2.56-2.61
2 Sn 0.0000 0.3140 0.4999 (multiplicity 2)  4 S 2.51-2.62
3 Bi 0.0000 0.6960 0.0001 (multiplicity 2)  4 S 2.63-2.81
4 S 0.0000 0.3323 0.1298 (multiplicity 2)  2 Ag 2.61, 1 Sn 2.62, 1 Bi 2.63
5 S 0.0000 0.6669 0.6041 (multiplicity 2)  1 Sn 2.51, 2 Ag 2.60
6 S 0.2364 0.1688 0.6388 (multiplicity 4)  1 Sn 2.55, 2 Ag 2.56-2.61, 1 Bi 2.74

Computed properties:
M_tot   0.00 μB/atom
Mass density   5.13 g/cm³
Fermi-level density of states   0.34 states/eV per atom

***

Most stable one: P, least stable one: Q.

***

P.
The following is a DFT calculation (GGA-PBE) of a relaxed AgBiSb crystal.

Lattice parameters (Å, degrees): 6.9905 6.9905 6.9905 90.00 90.00 90.00
Closest atoms and distances in Å follow each position.
Space group F-43m (No. 216)
Unique sites:
1 Ag 0.0000 0.0000 0.0000 (multiplicity 4)  4 Sb 3.03, 4 Bi 3.03
2 Bi 0.2500 0.2500 0.7500 (multiplicity 4)  4 Ag 3.03
3 Sb 0.2500 0.2500 0.2500 (multiplicity 4)  4 Ag 3.03

Computed properties:
M_tot   0.00 μB/atom
Mass density   8.53 g/cm³
Fermi-level density of states   0.45 states/eV per atom

***

Q.
The following is a DFT calculation (GGA-PBE) of a relaxed AgBiSb crystal.

Lattice parameters (Å, degrees): 4.3499 4.3499 5.0665 90.00 90.00 120.00
Closest atoms and distances in Å follow each position.
Space group P3m1 (No. 156)
Unique sites:
1 Ag 0.0000 0.0000 0.0000 (multiplicity 1)  3 Sb 2.90, 3 Bi 3.05
2 Bi 0.3333 0.6667 0.6592 (multiplicity 1)  3 Ag 3.05, 3 Sb 3.14
3 Sb 0.6667 0.3333 0.2877 (multiplicity 1)  3 Ag 2.90, 3 Bi 3.14

Computed properties:
M_tot   0.00 μB/atom
Mass density   8.77 g/cm³
Fermi-level density of states   0.49 states/eV per atom

***

R.
The following is a DFT calculation (GGA-PBE) of a relaxed AgBiSb crystal.

Lattice parameters (Å, degrees): 4.2607 4.2607 9.2533 90.00 90.00 90.00
Closest atoms and distances in Å follow each position.
Space group I4mm (No. 107)
Unique sites:
1 Ag 0.0000 0.0000 0.0000 (multiplicity 2)  1 Sb 2.84, 1 Bi 2.93
2 Bi 0.0000 0.0000 0.3171 (multiplicity 2)  1 Ag 2.93, 4 Sb 3.22
3 Sb 0.0000 0.0000 0.6935 (multiplicity 2)  1 Ag 2.84

Computed properties:
M_tot   0.00 μB/atom
Mass density   8.67 g/cm³
Fermi-level density of states   0.43 states/eV per atom

***

Most stable one: P, least stable one: R.

***

P.
The following is a DFT calculation (GGA-PBE) of a relaxed AgBi2Sb2 crystal.

Lattice parameters (Å, degrees): 8.2545 8.2545 4.3504 90.00 90.00 90.00
Closest atoms and distances in Å follow each position.
Space group P4/mbm (No. 127)
Unique sites:
1 Ag 0.0000 0.0000 0.0000 (multiplicity 2)  4 Sb 3.09
2 Bi 0.1495 0.3505 0.5000 (multiplicity 4)  6 Sb 3.08-3.38
3 Sb 0.1640 0.6640 0.0000 (multiplicity 4)  6 Bi 3.08-3.38, 2 Ag 3.09

Computed properties:
M_tot   0.00 μB/atom
Mass density   8.62 g/cm³
Fermi-level density of states   0.64 states/eV per atom

***

Q.
The following is a DFT calculation (GGA-PBE) of a relaxed AgBi2Sb2 crystal.

Lattice parameters (Å, degrees): 6.0918 6.0918 8.9447 90.00 90.00 90.00
Closest atoms and distances in Å follow each position.
Space group I4/mmm (No. 139)
Unique sites:
1 Ag 0.0000 0.0000 0.0000 (multiplicity 2)  2 Bi 2.88
2 Bi 0.0000 0.0000 0.3219 (multiplicity 4)  1 Ag 2.88, 4 Sb 3.11, 1 Bi 3.19
3 Sb 0.0000 0.5000 0.2500 (multiplicity 4)  4 Bi 3.11

Computed properties:
M_tot   0.00 μB/atom
Mass density   7.70 g/cm³
Fermi-level density of states   0.59 states/eV per atom

***

Most stable one: P, least stable one: Q.